## IBr (PBEsol)

Data for a relaxed IBr crystal.

Calculated density, g/cm³: 4.71
Magnetization, Bohr magnetons per cell: 0.00
Space-group type: No. 63
Energy, eV for the cell shown: -7.457

abc: 4.2611 4.2611 8.8597
angles: 90.00 90.00 114.93
Sites, in units of the cell vectors:
I 0.5000 0.5000 0.0000
I 0.5000 0.5000 0.5000
Br 0.8415 0.8415 0.2500
Br 0.1585 0.1585 0.7500